# 1
The following is a PBE calculation of a geometry-optimized Rb2BaSbO structure, from the Alexandria database.

Unit cell a=5.763 b=5.763 c=5.225 alpha=90.00 beta=90.00 gamma=90.00
Fractional positions:
Rb1 0.000 0.500 0.000
Rb2 0.500 0.000 0.000
Ba1 0.000 0.000 0.500
Sb1 0.500 0.500 0.500
O1 0.000 0.000 0.000

Summary:
Its space-group type is P4/mmm, No. 123. The total energy is -3.57 eV per atom. As for the volume: 173.5 Å³/cell.

# 2
The following is a PBE calculation of a geometry-optimized Cs2PmInSe4 structure, from the Alexandria database.

Unit cell a=9.136 b=9.136 c=9.055 alpha=119.69 beta=119.69 gamma=90.79
Fractional positions:
Cs1 0.000 0.000 0.000
Cs2 0.000 0.000 0.500
Cs3 0.000 0.500 0.000
Cs4 0.500 0.000 0.500
Pm1 0.000 0.500 0.500
Pm2 0.500 0.000 0.000
In1 0.500 0.500 0.000
In2 0.500 0.500 0.500
Se1 0.271 0.729 0.538
Se2 0.271 0.729 0.962
Se3 0.281 0.315 0.548
Se4 0.315 0.281 0.048
Se5 0.685 0.719 0.952
Se6 0.719 0.685 0.452
Se7 0.729 0.271 0.038
Se8 0.729 0.271 0.462

Summary:
Its space-group type is C2/c, No. 15. The total energy is -4.04 eV per atom. As for the volume: 535.7 Å³/cell.